1.
A plane-wave DFT calculation with PBE was carried out for a relaxed structure of Sr2Sn4Ir.

Summary:
- calculated volume (Å³/cell) = 462.80
- ΔH_f (0 K) (eV per atom) = -0.190

Unit cell a=5.0934 b=5.0934 c=17.8390 alpha=90.00 beta=90.00 gamma=90.00
Space group I4/mmm (No. 139)
Symmetry-distinct sites (fractional):
1 Sr 0.0000 0.0000 0.1591
2 Sn 0.0000 0.0000 0.3468
3 Sn 0.0000 0.5000 0.0000
4 Ir 0.0000 0.0000 0.5000

2.
A plane-wave DFT calculation with PBE was carried out for a relaxed structure of SrSn4Ir2.

Summary:
- calculated volume (Å³/cell) = 623.46
- ΔH_f (0 K) (eV per atom) = -0.461
- polymorph energy (0 for the lowest one) (meV/atom) = 0

Unit cell a=18.9031 b=4.5007 c=7.3281 alpha=90.00 beta=90.00 gamma=90.00
Space group Pnma (No. 62)
Symmetry-distinct sites (fractional):
1 Sr 0.1423 0.2500 0.0093
2 Sn 0.0323 0.7500 0.8668
3 Sn 0.0688 0.2500 0.4832
4 Sn 0.1828 0.7500 0.3067
5 Sn 0.1941 0.7500 0.7286
6 Ir 0.0364 0.7500 0.2566
7 Ir 0.2141 0.2500 0.5200

3.
A plane-wave DFT calculation with PBE was carried out for a relaxed structure of SrSn3Ir3.

Summary:
- calculated volume (Å³/cell) = 388.28
- ΔH_f (0 K) (eV per atom) = 0.023
- polymorph energy (0 for the lowest one) (meV/atom) = 193

Unit cell a=7.2954 b=7.2954 c=7.2954 alpha=90.00 beta=90.00 gamma=90.00
Space group Pm-3n (No. 223)
Symmetry-distinct sites (fractional):
1 Sr 0.0000 0.0000 0.0000
2 Sn 0.0000 0.2500 0.5000
3 Ir 0.0000 0.5000 0.2500

4.
A plane-wave DFT calculation with PBE was carried out for a relaxed structure of SrSn2Ir.

Summary:
- calculated volume (Å³/cell) = 428.46
- ΔH_f (0 K) (eV per atom) = -0.467

Unit cell a=7.9073 b=4.6765 c=11.5867 alpha=90.00 beta=90.00 gamma=90.00
Space group Pnma (No. 62)
Symmetry-distinct sites (fractional):
1 Sr 0.1979 0.2500 0.1433
2 Sn 0.1289 0.2500 0.8451
3 Sn 0.1318 0.2500 0.4451
4 Ir 0.0294 0.7500 0.3508

5.
A plane-wave DFT calculation with PBE was carried out for a relaxed structure of Sr2Sn2Ir.

Summary:
- calculated volume (Å³/cell) = 578.90
- ΔH_f (0 K) (eV per atom) = -0.573
- polymorph energy (0 for the lowest one) (meV/atom) = 0

Unit cell a=11.7775 b=4.7476 c=11.5926 alpha=90.00 beta=116.73 gamma=90.00
Space group C2/m (No. 12)
Symmetry-distinct sites (fractional):
1 Sr 0.0070 0.0000 0.1664
2 Sr 0.1883 0.0000 0.6133
3 Sn 0.0112 0.5000 0.3751
4 Sn 0.1805 0.5000 0.0598
5 Ir 0.2162 0.5000 0.8386

6.
A plane-wave DFT calculation with PBE was carried out for a relaxed structure of SrSn2TeIr.

Summary:
- calculated volume (Å³/cell) = 191.10
- polymorph energy (0 for the lowest one) (meV/atom) = 1497

Unit cell a=5.6744 b=5.6744 c=5.9352 alpha=90.00 beta=90.00 gamma=90.00
Space group P4/mmm (No. 123)
Symmetry-distinct sites (fractional):
1 Sr 0.0000 0.0000 0.0000
2 Sn 0.0000 0.5000 0.5000
3 Te 0.0000 0.0000 0.5000
4 Ir 0.5000 0.5000 0.0000

7.
A plane-wave DFT calculation with PBE was carried out for a relaxed structure of SrSn2TeIr.

Summary:
- calculated volume (Å³/cell) = 155.65
- polymorph energy (0 for the lowest one) (meV/atom) = 0

Unit cell a=5.0692 b=5.0692 c=6.0573 alpha=90.00 beta=90.00 gamma=90.00
Space group P4/mmm (No. 123)
Symmetry-distinct sites (fractional):
1 Sr 0.0000 0.0000 0.0000
2 Sn 0.0000 0.5000 0.5000
3 Te 0.5000 0.5000 0.0000
4 Ir 0.0000 0.0000 0.5000

8.
A plane-wave DFT calculation with PBE was carried out for a relaxed structure of Sr2TlSnIr.

Summary:
- calculated volume (Å³/cell) = 174.22
- ΔH_f (0 K) (eV per atom) = -0.299

Unit cell a=5.8482 b=5.8482 c=5.0939 alpha=90.00 beta=90.00 gamma=90.00
Space group P4/mmm (No. 123)
Symmetry-distinct sites (fractional):
1 Sr 0.0000 0.5000 0.0000
2 Tl 0.0000 0.0000 0.5000
3 Sn 0.5000 0.5000 0.5000
4 Ir 0.5000 0.5000 0.0000

Copy entry 8 word for word.
A plane-wave DFT calculation with PBE was carried out for a relaxed structure of Sr2TlSnIr.

Summary:
- calculated volume (Å³/cell) = 174.22
- ΔH_f (0 K) (eV per atom) = -0.299

Unit cell a=5.8482 b=5.8482 c=5.0939 alpha=90.00 beta=90.00 gamma=90.00
Space group P4/mmm (No. 123)
Symmetry-distinct sites (fractional):
1 Sr 0.0000 0.5000 0.0000
2 Tl 0.0000 0.0000 0.5000
3 Sn 0.5000 0.5000 0.5000
4 Ir 0.5000 0.5000 0.0000